Entry 1:
## ReTeRh2 (PBE)

Data for an optimized crystal structure of ReTeRh2.

The structure in POSCAR format:
```
ReTeRh2
1.0
-1.533 2.275 4.708
1.533 -2.275 4.708
1.533 2.275 -4.708
Rh Re Te
2 1 1
direct
0.988 0.988 0.000 Rh
0.276 0.776 0.500 Rh
0.732 0.232 0.500 Re
0.504 0.504 0.000 Te
```

## Properties
uncorrected formation energy	0.403	eV per atom


Entry 2:
## TcSbTe2 (PBE)

Data for an optimized crystal structure of TcSbTe2.

The structure in POSCAR format:
```
TcSbTe2
1.0
7.043 0.014 -0.008
4.619 5.317 0.008
-5.393 -3.623 2.719
Tc Sb Te
1 1 2
direct
0.250 0.750 0.500 Tc
0.750 0.250 0.500 Sb
0.423 0.423 0.000 Te
0.077 0.077 0.000 Te
```

## Properties
uncorrected formation energy	0.195	eV per atom


Entry 3:
## CuTe2Au (PBE)

Data for an optimized crystal structure of CuTe2Au.

The structure in POSCAR format:
```
CuTe2Au
1.0
3.720 0.036 0.000
-1.789 3.261 0.000
0.000 0.000 7.912
Au Te Cu
1 2 1
direct
0.500 0.500 0.250 Au
0.000 0.000 0.517 Te
0.000 0.000 0.983 Te
0.500 0.500 0.750 Cu
```

## Properties
uncorrected formation energy	0.254	eV per atom


Entry 4:
## BaCdRu2 (PBE)

Data for an optimized crystal structure of BaCdRu2.

The structure in POSCAR format:
```
BaCdRu2
1.0
4.811 -0.033 0.008
2.772 3.932 0.008
2.490 1.280 5.751
Cd Ru Ba
1 2 1
direct
0.250 0.250 0.250 Cd
0.552 0.552 0.282 Ru
0.948 0.948 0.218 Ru
0.750 0.750 0.750 Ba
```

## Properties
formation energy	316.5	meV/atom


no.,Fermi-level density of states (states/eV/atom),calculated total energy (eV/atom),total magnetization (μB/cell)
1,1.21,-7.170,0.00
2,0.70,-4.998,0.00
3,0.77,-3.160,0.00
4,0.77,-5.031,0.00